# 1
## Co21B6Mo2 (PBEsol)

Data for a relaxed Co21B6Mo2 crystal.

SG ... Fm-3m (225)
ΔE_f ... -25 kJ/mol of atoms
M_tot ... 16.565 Bohr magnetons per cell

a b c (Å): 7.2854 7.2854 7.2854
angles (deg): 60.00 60.00 60.00
Atoms (fractional coordinates):
Co1 0.0000 0.0000 0.0000
Co2 0.6184 0.1447 0.6184
Co3 0.6184 0.6184 0.1447
Co4 0.6184 0.6184 0.6184
Co5 0.1447 0.6184 0.6184
Co6 0.3816 0.8553 0.3816
Co7 0.3816 0.3816 0.8553
Co8 0.3816 0.3816 0.3816
Co9 0.8553 0.3816 0.3816
Co10 0.6617 0.3383 0.0000
Co11 0.0000 0.3383 0.0000
Co12 0.0000 0.3383 0.6617
Co13 0.0000 0.0000 0.3383
Co14 0.6617 0.0000 0.3383
Co15 0.0000 0.6617 0.3383
Co16 0.0000 0.0000 0.6617
Co17 0.0000 0.6617 0.0000
Co18 0.6617 0.0000 0.0000
Co19 0.3383 0.6617 0.0000
Co20 0.3383 0.0000 0.6617
Co21 0.3383 0.0000 0.0000
B1 0.2745 0.2745 0.7255
B2 0.7255 0.2745 0.7255
B3 0.7255 0.2745 0.2745
B4 0.7255 0.7255 0.2745
B5 0.2745 0.7255 0.2745
B6 0.2745 0.7255 0.7255
Mo1 0.7500 0.7500 0.7500
Mo2 0.2500 0.2500 0.2500



# 2
## NiAu3 (PBEsol)

Data for a relaxed NiAu3 crystal.

SG ... P4/mmm (123)
ΔE_f ... 4 kJ/mol of atoms
M_tot ... 0.000 Bohr magnetons per cell

a b c (Å): 2.9032 2.9032 7.2562
angles (deg): 90.00 90.00 90.00
Atoms (fractional coordinates):
Ni1 0.5000 0.5000 0.0000
Au1 0.0000 0.0000 0.7776
Au2 0.0000 0.0000 0.2224
Au3 0.5000 0.5000 0.5000



# 3
## BaLaAu3 (PBEsol)

Data for a relaxed BaLaAu3 crystal.

SG ... Pm-3m (221)
ΔE_f ... -25 kJ/mol of atoms
M_tot ... 0.000 Bohr magnetons per cell

a b c (Å): 5.5075 5.5075 5.5075
angles (deg): 90.00 90.00 90.00
Atoms (fractional coordinates):
Au1 0.0000 0.5000 0.0000
Au2 0.0000 0.0000 0.5000
Au3 0.5000 0.0000 0.0000
Ba1 0.5000 0.5000 0.5000
La1 0.0000 0.0000 0.0000



Which of these has the highest M_tot?
Co21B6Mo2



Please write out number 3 again, unchanged.
## BaLaAu3 (PBEsol)

Data for a relaxed BaLaAu3 crystal.

SG ... Pm-3m (221)
ΔE_f ... -25 kJ/mol of atoms
M_tot ... 0.000 Bohr magnetons per cell

a b c (Å): 5.5075 5.5075 5.5075
angles (deg): 90.00 90.00 90.00
Atoms (fractional coordinates):
Au1 0.0000 0.5000 0.0000
Au2 0.0000 0.0000 0.5000
Au3 0.5000 0.0000 0.0000
Ba1 0.5000 0.5000 0.5000
La1 0.0000 0.0000 0.0000



Which formula does entry 2 have?
NiAu3